Density functional theory data (PBE) for a geometry-optimized BeNiRu2 structure.

Calculated values
**DFT formation energy**: 0.23 eV per atom
**E**: -27.2 eV per cell
**Space group**: Cmm2, No. 35

Cell: 2.5933 2.5933 8.1061 Å, 90.00 90.00 116.00°
Last column: magnetic moment on the atom in μB.
Fractional positions:
1 Be 0.0000 0.0000 0.5107  0.00
2 Ni 0.5000 0.5000 0.7216  0.06
3 Ru 0.5000 0.5000 0.2763  0.15
4 Ru 0.0000 0.0000 0.9914  0.23

=====

Density functional theory data (PBE) for a geometry-optimized Hf6BeN4 structure.

Calculated values
**Uncorrected formation energy**: -1359 meV/atom
**E**: -223.4 eV per cell
**Space group**: Cmcm, No. 63

Cell: 3.2459 5.6472 16.7228 Å, 90.00 90.00 106.70°
Fractional positions:
1 N 0.1373 0.2746 0.4610
2 N 0.8627 0.7254 0.5390
3 N 0.5934 0.1867 0.8781
4 N 0.4066 0.8133 0.1219
5 N 0.5934 0.1867 0.6219
6 N 0.4066 0.8133 0.3781
7 N 0.8627 0.7254 0.9610
8 N 0.1373 0.2746 0.0390
9 Hf 0.7750 0.5499 0.0814
10 Hf 0.5000 0.0000 0.0000
11 Hf 0.0410 0.0820 0.3444
12 Hf 0.5000 0.0000 0.5000
13 Hf 0.3421 0.6841 0.2500
14 Hf 0.9590 0.9180 0.6556
15 Hf 0.2250 0.4501 0.9186
16 Hf 0.6579 0.3159 0.7500
17 Hf 0.7750 0.5499 0.4186
18 Hf 0.9590 0.9180 0.8444
19 Hf 0.0410 0.0820 0.1556
20 Hf 0.2250 0.4501 0.5814
21 Be 0.3387 0.6774 0.7500
22 Be 0.6613 0.3226 0.2500

=====

| no. | DOS(E_F) (states/eV per atom) |
| --- | --- |
| 1 | 1.49 |
| 2 | 0.27 |